# TiMo4W2

A geometry-optimized TiMo4W2 structure (PBE, the Alexandria database).

```
TiMo4W2
1.0
2.6182 0.0000 0.0000
0.0000 4.7009 0.0000
0.0000 -2.3504 9.2875
Ti Mo W
1 4 2
Direct
0.0000 0.5000 0.0000
0.5000 0.0679 0.1358
0.0000 0.3529 0.7058
0.5000 0.9321 0.8642
0.0000 0.6471 0.2942
0.5000 0.2109 0.4217
0.5000 0.7891 0.5783
```

Output
Total moment = 0.0 μB/cell
Uncorrected energy = -10.743 eV per atom
ΔE to the lowest computed polymorph = 95 kJ/mol of formula units
D(E_F) = 7.2 states/eV per cell
SG = Cmmm